--- P ---
NpBeIr2 | PBE | optimized geometry

Geometry as POSCAR:
```
NpBeIr2
1.0
1.951 1.127 4.960
-1.951 1.127 4.960
0.000 -2.253 4.960
Np Be Ir
1 1 2
Direct
0.000 0.000 0.000 Np
0.500 0.500 0.500 Be
0.222 0.222 0.222 Ir
0.778 0.778 0.778 Ir
```

Results
* N(E_F): 5.6 states/eV/f.u.
* magnetization: 2.532 Bohr magnetons per cell
* calculated density: 16.00 Mg/m³
* space group: No. 166

---

--- Q ---
NpBeIr2 | PBE | optimized geometry

Geometry as POSCAR:
```
NpBeIr2
1.0
2.926 0.000 0.000
0.000 2.926 0.000
0.000 0.000 6.867
Np Be Ir
1 1 2
Direct
0.000 0.000 0.000 Np
0.000 0.000 0.500 Be
0.500 0.500 0.300 Ir
0.500 0.500 0.700 Ir
```

Results
* N(E_F): 6.6 states/eV/f.u.
* magnetization: 2.333 Bohr magnetons per cell
* calculated density: 17.80 Mg/m³
* space group: No. 123

---

So which one is most stable? That would be Q, about 41 meV per atom below the next structure.

---

--- P ---
BeIrOs | PBE | optimized geometry

Geometry as POSCAR:
```
BeIrOs
1.0
-1.391 1.391 4.705
1.391 -1.391 4.705
1.391 1.391 -4.705
Be Ir Os
1 1 1
Direct
0.000 0.000 0.000 Be
0.648 0.648 0.000 Ir
0.349 0.349 0.000 Os
```

Results
* N(E_F): 2.2 states/eV/f.u.
* magnetization: 0.000 Bohr magnetons per cell
* calculated density: 17.86 Mg/m³
* space group: No. 107

---

--- Q ---
BeIrOs | PBE | optimized geometry

Geometry as POSCAR:
```
BeIrOs
1.0
2.701 0.000 0.000
-1.351 2.339 0.000
0.000 0.000 6.094
Be Ir Os
1 1 1
Direct
0.000 0.000 0.000 Be
0.667 0.333 0.313 Ir
0.333 0.667 0.679 Os
```

Results
* N(E_F): 2.5 states/eV/f.u.
* magnetization: 0.000 Bohr magnetons per cell
* calculated density: 16.88 Mg/m³
* space group: No. 156

---

--- R ---
BeIrOs | PBE | optimized geometry

Geometry as POSCAR:
```
BeIrOs
1.0
4.044 0.000 0.000
-2.022 3.502 0.000
0.000 0.000 2.696
Be Ir Os
1 1 1
Direct
0.000 0.000 0.000 Be
0.333 0.667 0.000 Ir
0.667 0.333 0.500 Os
```

Results
* N(E_F): 2.7 states/eV/f.u.
* magnetization: 0.000 Bohr magnetons per cell
* calculated density: 17.02 Mg/m³
* space group: No. 187

---

So which one is most stable? That would be P, about 188 meV per atom below the next structure.